# 1
Compound: LaInMo
Source: the Alexandria database
Functional: PBE
Structure: optimized geometry

Its total DFT energy (no corrections) is -6.0630 eV per atom. The calculation puts the formation energy at 103 meV per atom. For the size of the total moment, the calculation gives 0.00 μB/f.u.

The structure belongs to space group C2/m (No. 12); the cell edges are 11.327, 3.536 and 9.383 Å and the angles 90.00°, 126.86° and 90.00°. The asymmetric unit holds La at (0.080, 0.000, 0.301), In at (0.185, 0.500, 0.070) and Mo at (0.121, 0.500, 0.624).

---

# 2
Compound: La2InMo
Source: the Alexandria database
Functional: PBE
Structure: optimized geometry

Its total DFT energy (no corrections) is -5.6696 eV per atom. The calculation puts the formation energy at 186 meV per atom. For the size of the total moment, the calculation gives 0.00 μB/f.u.

The structure belongs to space group P4mm (No. 99); the cell edges are 3.832, 3.832 and 7.376 Å and the angles 90.00°, 90.00° and 90.00°. The asymmetric unit holds La at (0.000, 0.000, 0.000), La at (0.500, 0.500, 0.345), In at (0.500, 0.500, 0.764) and Mo at (0.000, 0.000, 0.623).

---

# 3
Compound: LaIn2Mo
Source: the Alexandria database
Functional: PBE
Structure: optimized geometry

Its total DFT energy (no corrections) is -5.0582 eV per atom. The calculation puts the formation energy at 251 meV per atom. For the size of the total moment, the calculation gives 0.07 μB/f.u.

The structure belongs to space group R-3m (No. 166, hexagonal axes); the cell edges are 3.2175, 3.2175 and 31.3844 Å and the angles 90.00°, 90.00° and 120.00°. The asymmetric unit holds La at (0.0000, 0.0000, 0.0000), In at (0.0000, 0.0000, 0.2390) and Mo at (0.0000, 0.0000, 0.5000).

---

# 4
Compound: LaInMo
Source: the Alexandria database
Functional: PBE
Structure: optimized geometry

Its total DFT energy (no corrections) is -6.0790 eV per atom. The calculation puts the formation energy at 87 meV per atom. For the size of the total moment, the calculation gives 0.00 μB/f.u.

The structure belongs to space group Imm2 (No. 44); the cell edges are 5.102, 7.477 and 8.269 Å and the angles 90.00°, 90.00° and 90.00°. The asymmetric unit holds La at (0.000, 0.000, 0.000), La at (0.000, 0.500, 0.107), In at (0.000, 0.204, 0.406) and Mo at (0.000, 0.352, 0.737).

---

# 5
Compound: LaIn2Mo
Source: the Alexandria database
Functional: PBE
Structure: optimized geometry

Its total DFT energy (no corrections) is -5.1886 eV per atom. The calculation puts the formation energy at 120 meV per atom. For the size of the total moment, the calculation gives 0.00 μB/f.u.

The structure belongs to space group Immm (No. 71); the cell edges are 4.552, 4.689 and 8.811 Å and the angles 90.00°, 90.00° and 90.00°. The asymmetric unit holds La at (0.000, 0.000, 0.000), In at (0.000, 0.500, 0.247) and Mo at (0.000, 0.000, 0.500).

---

# 6
Compound: LaInMo
Source: the Alexandria database
Functional: PBE
Structure: optimized geometry

Its total DFT energy (no corrections) is -6.1320 eV per atom. The calculation puts the formation energy at 34 meV per atom. For the size of the total moment, the calculation gives 0.00 μB/f.u.

The structure belongs to space group C2/m (No. 12); the cell edges are 11.153, 4.778 and 7.686 Å and the angles 90.00°, 131.11° and 90.00°. The asymmetric unit holds La at (0.061, 0.000, 0.307), In at (0.181, 0.500, 0.104) and Mo at (0.130, 0.500, 0.666).

---

# 7
Compound: La2InMo
Source: the Alexandria database
Functional: PBE
Structure: optimized geometry

Its total DFT energy (no corrections) is -5.7050 eV per atom. The calculation puts the formation energy at 151 meV per atom. For the size of the total moment, the calculation gives 0.00 μB/f.u.

The structure belongs to space group Cm (No. 8); the cell edges are 12.195, 3.703 and 5.274 Å and the angles 90.00°, 115.52° and 90.00°. The asymmetric unit holds La at (0.000, 0.000, 0.000), La at (0.200, 0.000, 0.701), In at (0.413, 0.000, 0.414) and Mo at (0.222, 0.500, 0.223).

---

# 8
Compound: La2InMo
Source: the Alexandria database
Functional: PBE
Structure: optimized geometry

Its total DFT energy (no corrections) is -5.6335 eV per atom. The calculation puts the formation energy at 223 meV per atom. For the size of the total moment, the calculation gives 2.16 μB/f.u.

The structure belongs to space group F-43m (No. 216); the cell edges are 7.391, 7.391 and 7.391 Å and the angles 90.00°, 90.00° and 90.00°. The asymmetric unit holds La at (0.000, 0.000, 0.000), La at (0.250, 0.250, 0.250), In at (0.250, 0.250, 0.750) and Mo at (0.000, 0.000, 0.500).